DFT (PBE) results for an optimized crystal structure of ZrTc2MoC.

Values from the calculation:
Size of the total moment, Bohr magnetons per cell: 0.0
Raw total energy, eV/atom: -9.95
ΔE_f, eV/atom: -0.08
Volume, Å³ per cell: 73.3

```
data_ZrTc2MoC
_chemical_formula_sum 'Zr1 Tc2 Mo1 C1'
_symmetry_space_group_name_H-M 'P 4/m m m'
_symmetry_Int_Tables_number 123
_symmetry_space_group_name_Hall '-P 4 2'
_cell_length_a 4.171
_cell_length_b 4.171
_cell_length_c 4.213
_cell_angle_alpha 90.00
_cell_angle_beta 90.00
_cell_angle_gamma 90.00
loop_
_atom_site_label
_atom_site_fract_x
_atom_site_fract_y
_atom_site_fract_z
_atom_site_occupancy
Zr1 0.000 0.000 0.000 1
Tc1 0.000 0.500 0.500 1
Mo1 0.500 0.500 0.000 1
C1 0.500 0.500 0.500 1
```